## NaMgVF6 (GGA+U)

Data for an optimized crystal structure of NaMgVF6.

Values from the calculation:
symmetry = P-31c, No. 163
E = -98.84 eV/cell

Cell: 5.308 5.308 9.810 Å, 90.00 90.00 120.00°
Each line ends with the local moment (μB).
Fractional positions:
F 0.363 0.358 0.358  0.00
F 0.637 0.642 0.642  0.00
F 0.995 0.637 0.358  0.00
F 0.363 0.005 0.142  0.00
F 0.358 0.995 0.642  0.00
F 0.642 0.005 0.358  0.00
F 0.005 0.363 0.642  0.00
F 0.995 0.358 0.142  0.00
F 0.005 0.642 0.858  0.00
F 0.358 0.363 0.858  0.00
F 0.642 0.637 0.142  0.00
F 0.637 0.995 0.858  0.00
V 0.333 0.667 0.750  1.90
V 0.667 0.333 0.250  1.90
Na 0.000 0.000 0.000  0.00
Na 0.000 0.000 0.500  0.00
Mg 0.667 0.333 0.750  0.00
Mg 0.333 0.667 0.250  0.00